[1]
This record from the Alexandria database describes a relaxed structure of BaCu4Ag3Cl12. The functional is PBE-GGA.

ΔE_f (raw): -14.817 eV/f.u.

Lattice parameters (Å, degrees): 8.6044 8.6044 8.6044 105.35 105.35 105.35
With the nearest neighbours (Å) after each atom.
Sites, in units of the cell vectors:
Ba 0.0000 0.0000 0.0000  6 Cl 3.18
Cu 0.0761 0.5000 0.9239  3 Cl 2.18-2.22
Cu 0.5000 0.5000 0.5000  3 Cl 2.20
Cu 0.5000 0.9239 0.0761  3 Cl 2.18-2.22
Cu 0.9239 0.0761 0.5000  3 Cl 2.18-2.22
Ag 0.0000 0.5693 0.4307  6 Cl 2.67-2.75
Ag 0.4307 0.0000 0.5693  6 Cl 2.67-2.75
Ag 0.5693 0.4307 0.0000  6 Cl 2.67-2.75
Cl 0.0214 0.6559 0.7690  1 Cu 2.18
Cl 0.0862 0.9138 0.5000  1 Cu 2.22
Cl 0.2310 0.3441 0.9786  1 Cu 2.18
Cl 0.3394 0.6606 0.5000  1 Cu 2.20
Cl 0.3441 0.9786 0.2310  1 Cu 2.18
Cl 0.5000 0.0862 0.9138  1 Cu 2.22
Cl 0.5000 0.3394 0.6606  1 Cu 2.20
Cl 0.6559 0.7690 0.0214  1 Cu 2.18
Cl 0.6606 0.5000 0.3394  1 Cu 2.20
Cl 0.7690 0.0214 0.6559  1 Cu 2.18
Cl 0.9138 0.5000 0.0862  1 Cu 2.22
Cl 0.9786 0.2310 0.3441  1 Cu 2.18

---

[2]
This record from the Alexandria database describes a relaxed structure of BaDyAg2Cl8. The functional is PBE-GGA.

ΔE_f (raw): -17.239 eV/f.u.

Lattice parameters (Å, degrees): 6.7048 6.7048 8.8969 90.00 90.00 120.00
With the nearest neighbours (Å) after each atom.
Sites, in units of the cell vectors:
Ba 0.0000 0.0000 0.0000  6 Cl 3.45
Dy 0.0000 0.0000 0.5000  6 Cl 2.64
Ag 0.3333 0.6667 0.7127  4 Cl 2.47-2.56
Ag 0.6667 0.3333 0.2873  4 Cl 2.47-2.56
Cl 0.0427 0.7193 0.3120  1 Ag 2.56, 1 Dy 2.64
Cl 0.2807 0.3234 0.3120  1 Ag 2.56, 1 Dy 2.64
Cl 0.3234 0.0427 0.6880  1 Ag 2.56, 1 Dy 2.64
Cl 0.3333 0.6667 0.9909  1 Ag 2.47
Cl 0.6667 0.3333 0.0091  1 Ag 2.47
Cl 0.6766 0.9573 0.3120  1 Ag 2.56, 1 Dy 2.64
Cl 0.7193 0.6766 0.6880  1 Ag 2.56, 1 Dy 2.64
Cl 0.9573 0.2807 0.6880  1 Ag 2.56, 1 Dy 2.64

---

[3]
This record from the Alexandria database describes a relaxed structure of BaDyAgCl6. The functional is PBE-GGA.

ΔE_f (raw): -17.524 eV/f.u.

Lattice parameters (Å, degrees): 7.0183 7.0183 13.4736 90.00 90.00 120.00
With the nearest neighbours (Å) after each atom.
Sites, in units of the cell vectors:
Ba 0.0000 0.0000 0.0000  6 Cl 3.12
Ba 0.0000 0.0000 0.5000  6 Cl 3.12
Dy 0.3333 0.6667 0.2500  6 Cl 2.66
Dy 0.6667 0.3333 0.7500  6 Cl 2.66
Ag 0.3333 0.6667 0.7500  6 Cl 2.80
Ag 0.6667 0.3333 0.2500  6 Cl 2.80
Cl 0.0157 0.3670 0.1360  1 Dy 2.66, 1 Ag 2.80
Cl 0.0157 0.6487 0.3640  1 Dy 2.66, 1 Ag 2.80
Cl 0.3513 0.3670 0.3640  1 Dy 2.66, 1 Ag 2.80
Cl 0.3513 0.9843 0.1360  1 Dy 2.66, 1 Ag 2.80
Cl 0.3670 0.0157 0.6360  1 Dy 2.66, 1 Ag 2.80
Cl 0.3670 0.3513 0.8640  1 Dy 2.66, 1 Ag 2.80
Cl 0.6330 0.6487 0.1360  1 Dy 2.66, 1 Ag 2.80
Cl 0.6330 0.9843 0.3640  1 Dy 2.66, 1 Ag 2.80
Cl 0.6487 0.0157 0.8640  1 Dy 2.66, 1 Ag 2.80
Cl 0.6487 0.6330 0.6360  1 Dy 2.66, 1 Ag 2.80
Cl 0.9843 0.3513 0.6360  1 Dy 2.66, 1 Ag 2.80
Cl 0.9843 0.6330 0.8640  1 Dy 2.66, 1 Ag 2.80

---

no.,total energy (eV per atom),V (Å³/f.u.)
1,-3.192,552.7
2,-3.687,346.4
3,-4.220,287.4